Density functional theory data (PBE) for a relaxed ScSnP2S crystal.

The calculated volume comes out at 24.21 Å³/atom. The theoretical density is 3.53 g cm⁻³. For the formation energy (no corrections), the calculation gives 0.041 eV per atom. Its relative energy among the computed polymorphs is 0.000 eV/atom. As for the total moment: 0.000 μB/f.u.

The structure belongs to space group P4/mmm (No. 123); the cell edges are 4.9665, 4.9665 and 4.9079 Å and the angles 90.00°, 90.00° and 90.00°. The inequivalent atoms are Sc at (0.0000, 0.0000, 0.0000), Sn at (0.5000, 0.5000, 0.5000), P at (0.0000, 0.5000, 0.0000) and S at (0.0000, 0.0000, 0.5000).